Record 1
The following is a GGA-PBE calculation of a relaxed structure of MgGa3S, from the Alexandria database.

The structure in POSCAR format:
```
MgGa3S
1.0
5.087 0.000 0.000
0.000 5.087 0.000
0.000 0.000 5.087
Mg Ga S
1 3 1
direct
0.000 0.000 0.000
0.000 0.000 0.500
0.000 0.500 0.000
0.500 0.000 0.000
0.500 0.500 0.500
```

- Density of states at the Fermi level: 0.40 states/eV per atom
- Calculated density: 3.349 g cm⁻³
- Space-group type: Pm-3m, No. 221
- Energy above the lowest structure with this stoichiometry: 0.215 eV per atom
- ΔE_f (raw): 0.487 eV per atom
- Magnetization: 0.0 μB/f.u.



Record 2
The following is a GGA-PBE calculation of a relaxed structure of SiMoPt2, from the Alexandria database.

The structure in POSCAR format:
```
SiMoPt2
1.0
-3.758 -2.113 2.365
-2.348 -3.375 -2.697
4.718 0.834 1.105
Pt Mo Si
2 1 1
direct
0.500 0.500 0.000
0.000 0.000 0.000
0.750 0.250 0.500
0.250 0.750 0.500
```

- Density of states at the Fermi level: 0.68 states/eV per atom
- Calculated density: 14.233 g cm⁻³
- Space-group type: I4/mmm, No. 139
- ΔE_f (raw): -0.211 eV per atom
- Magnetization: 0.6 μB/f.u.



Record 3
The following is a GGA-PBE calculation of a relaxed structure of CsGe4Au8, from the Alexandria database.

The structure in POSCAR format:
```
CsGe4Au8
1.0
0.307 -3.991 -0.128
2.295 -1.528 -9.520
6.940 -1.628 4.769
Au Ge Cs
8 4 1
direct
0.849 0.346 0.956
0.901 0.885 0.314
0.567 0.644 0.222
0.116 0.340 0.427
0.464 0.360 0.711
0.131 0.118 0.620
0.182 0.657 0.978
0.915 0.663 0.507
0.305 0.844 0.547
0.198 0.429 0.175
0.834 0.574 0.759
0.727 0.159 0.387
0.516 0.002 0.967
```

- Density of states at the Fermi level: 0.38 states/eV per atom
- Calculated density: 11.084 g cm⁻³
- Space-group type: C2/m, No. 12
- Raw total energy: -3.5367 eV per atom
- Magnetization: 0.0 μB/f.u.



Record 4
The following is a GGA-PBE calculation of a relaxed structure of Rb2InSe2, from the Alexandria database.

The structure in POSCAR format:
```
Rb2InSe2
1.0
9.891 0.000 0.000
0.000 9.891 0.000
0.000 0.000 3.485
In Rb Se
2 4 4
direct
0.500 0.500 0.000
0.000 0.000 0.000
0.624 0.124 0.000
0.124 0.376 0.000
0.876 0.624 0.000
0.376 0.876 0.000
0.825 0.325 0.500
0.175 0.675 0.500
0.325 0.175 0.500
0.675 0.825 0.500
```

- Density of states at the Fermi level: 0.21 states/eV per atom
- Calculated density: 4.321 g cm⁻³
- Space-group type: P4/mbm, No. 127
- Energy above the lowest structure with this stoichiometry: 0.406 eV per atom
- ΔE_f (raw): -0.480 eV per atom
- Magnetization: 0.0 μB/f.u.